Record 1
# Tb6Pm3Pr2 | Alexandria via LeMat-Bulk | PBE | relaxed
data_Tb6Pm3Pr2
_chemical_formula_sum 'Tb12 Pm6 Pr4'
_cell_length_a 4.798
_cell_length_b 4.798
_cell_length_c 33.552
_cell_angle_alpha 90.00
_cell_angle_beta 90.00
_cell_angle_gamma 90.00
_symmetry_space_group_name_H-M 'I 4/m m m'
_symmetry_Int_Tables_number 139
_symmetry_space_group_name_Hall '-I 4 2'
loop_
_atom_site_label
_atom_site_fract_x
_atom_site_fract_y
_atom_site_fract_z
Tb1 0.000 0.000 0.195
Tb2 0.000 0.500 0.122
Pm1 0.000 0.000 0.298
Pm2 0.000 0.000 0.500
Pr1 0.000 0.000 0.046
# * total DFT energy (no corrections): -4.436 eV per atom
# * polymorph energy (0 for the lowest one): 0.075 eV per atom
# * E_form: 255 meV per atom
# * magnetic moment: 0.0 μB/cell

Record 2
# Hf6AlS | Alexandria via LeMat-Bulk | PBE | relaxed
data_Hf6AlS
_chemical_formula_sum 'Hf18 Al3 S3'
_cell_length_a 8.5774
_cell_length_b 8.5774
_cell_length_c 7.8778
_cell_angle_alpha 90.00
_cell_angle_beta 90.00
_cell_angle_gamma 120.00
_symmetry_space_group_name_H-M 'R -3'
_symmetry_Int_Tables_number 148
_symmetry_space_group_name_Hall '-R 3'
loop_
_atom_site_label
_atom_site_fract_x
_atom_site_fract_y
_atom_site_fract_z
Hf1 0.0522 0.7929 0.1814
Al1 0.0000 0.0000 0.5000
S1 0.0000 0.0000 0.0000
# * total DFT energy (no corrections): -8.812 eV per atom
# * ΔE_f (raw): -0.364 eV/atom
# * magnetic moment: 0.0 μB/cell

Record 3
# Cs2ThPaSe6 | Alexandria via LeMat-Bulk | PBE | relaxed
data_Cs2ThPaSe6
_chemical_formula_sum 'Cs4 Th2 Pa2 Se12'
_cell_length_a 7.985
_cell_length_b 11.292
_cell_length_c 7.986
_cell_angle_alpha 90.00
_cell_angle_beta 90.00
_cell_angle_gamma 90.00
_symmetry_space_group_name_H-M 'P m m n'
_symmetry_Int_Tables_number 59
loop_
_symmetry_equiv_pos_as_xyz
'x,y,z'
'-x,-y,-z'
'-x+1/2,-y+1/2,z'
'x+1/2,y+1/2,-z'
'x+1/2,-y,-z'
'-x+1/2,y,z'
'-x,y+1/2,-z'
'x,-y+1/2,z'
loop_
_atom_site_label
_atom_site_fract_x
_atom_site_fract_y
_atom_site_fract_z
Cs1 0.250 0.000 0.250
Th1 0.250 0.250 0.750
Pa1 0.250 0.750 0.750
Se1 0.005 0.750 0.505
Se2 0.005 0.750 0.994
Se3 0.250 0.505 0.749
# * total DFT energy (no corrections): -5.367 eV per atom
# * ΔE_f (raw): -1.414 eV/atom
# * magnetic moment: 0.0 μB/cell

Record 4
# P2IrPb | Alexandria via LeMat-Bulk | PBE | relaxed
data_P2IrPb
_chemical_formula_sum 'P2 Ir1 Pb1'
_cell_length_a 4.791
_cell_length_b 4.791
_cell_length_c 3.089
_cell_angle_alpha 90.00
_cell_angle_beta 90.00
_cell_angle_gamma 90.00
_symmetry_space_group_name_H-M 'P 4/m m m'
_symmetry_Int_Tables_number 123
_symmetry_space_group_name_Hall '-P 4 2'
loop_
_atom_site_label
_atom_site_fract_x
_atom_site_fract_y
_atom_site_fract_z
P1 0.000 0.500 0.000
Ir1 0.000 0.000 0.500
Pb1 0.500 0.500 0.500
# * total DFT energy (no corrections): -5.133 eV per atom
# * E_form: 714 meV per atom
# * magnetic moment: 0.0 μB/cell

> Which value of total DFT energy (no corrections) does entry 1 give?

-4.436 eV per atom

> What is the magnetic moment in the second record?

0.0 μB/cell